The following is a DFT calculation (PBE) of a geometry-optimized La4Sn2H structure.

The structure in CIF format:
```
data_La4Sn2H
_chemical_formula_sum 'La8 Sn4 H2'
_space_group_name_H-M_alt 'I 4/m m m'
_space_group_IT_number 139
_space_group_name_Hall '-I 4 2'
_cell_length_a 4.797
_cell_length_b 4.797
_cell_length_c 17.922
_cell_angle_alpha 90.00
_cell_angle_beta 90.00
_cell_angle_gamma 90.00
loop_
_atom_site_label
_atom_site_type_symbol
_atom_site_fract_x
_atom_site_fract_y
_atom_site_fract_z
La1 La 0.000 0.000 0.180
La2 La 0.000 0.500 0.000
Sn1 Sn 0.000 0.000 0.364
H1 H 0.000 0.000 0.000
```

Output
Energy above the most stable polymorph in this dataset (eV per atom): 0.000
DOS(E_F) (states/eV per cell): 14.4
Calculated density (g/cm³): 6.4

---

The following is a DFT calculation (PBE) of a geometry-optimized Li2SnCl structure.

The structure in CIF format:
```
data_Li2SnCl
_chemical_formula_sum 'Li8 Sn4 Cl4'
_space_group_name_H-M_alt 'I -4 2 d'
_space_group_IT_number 122
_space_group_name_Hall 'I -4 2bw'
_cell_length_a 6.711
_cell_length_b 6.711
_cell_length_c 8.274
_cell_angle_alpha 90.00
_cell_angle_beta 90.00
_cell_angle_gamma 90.00
loop_
_atom_site_label
_atom_site_type_symbol
_atom_site_fract_x
_atom_site_fract_y
_atom_site_fract_z
Li1 Li 0.176 0.750 0.125
Sn1 Sn 0.000 0.000 0.500
Cl1 Cl 0.000 0.000 0.000
```

Output
Energy above the most stable polymorph in this dataset (eV per atom): 0.210
DOS(E_F) (states/eV per cell): 2.1
E_form (uncorrected) (eV per atom): -0.7378
Calculated density (g/cm³): 3.0

---

The following is a DFT calculation (PBE) of a geometry-optimized Rb2CuH4C4O10 structure.

The structure in CIF format:
```
data_Rb2CuH4C4O10
_chemical_formula_sum 'Rb4 Cu2 H8 C8 O20'
_space_group_name_H-M_alt 'P -1'
_space_group_IT_number 2
_cell_length_a 7.216
_cell_length_b 8.962
_cell_length_c 10.177
_cell_angle_alpha 109.00
_cell_angle_beta 105.57
_cell_angle_gamma 94.14
loop_
_space_group_symop_operation_xyz
'x,y,z'
'-x,-y,-z'
loop_
_atom_site_label
_atom_site_type_symbol
_atom_site_fract_x
_atom_site_fract_y
_atom_site_fract_z
Rb1 Rb 0.116 0.337 0.351
Rb2 Rb 0.243 0.373 0.990
Cu1 Cu 0.000 0.000 0.000
Cu2 Cu 0.500 0.000 0.500
H1 H 0.010 0.942 0.298
H2 H 0.206 0.017 0.754
H3 H 0.336 0.752 0.666
H4 H 0.359 0.575 0.647
C1 C 0.238 0.725 0.323
C2 C 0.291 0.824 0.048
C3 C 0.381 0.003 0.144
C4 C 0.442 0.676 0.364
O1 O 0.077 0.018 0.770
O2 O 0.093 0.621 0.240
O3 O 0.108 0.800 0.974
O4 O 0.237 0.877 0.381
O5 O 0.265 0.640 0.613
O6 O 0.267 0.105 0.128
O7 O 0.392 0.718 0.048
O8 O 0.416 0.210 0.548
O9 O 0.449 0.960 0.769
O10 O 0.456 0.532 0.310
```

Output
Energy (eV per atom): -6.276
Calculated density (g/cm³): 2.5

---

The following is a DFT calculation (PBE) of a geometry-optimized LiReI3 structure.

The structure in CIF format:
```
data_LiReI3
_chemical_formula_sum 'Li1 Re1 I3'
_space_group_name_H-M_alt 'P m -3 m'
_space_group_IT_number 221
_space_group_name_Hall '-P 4 2 3'
_cell_length_a 5.539
_cell_length_b 5.539
_cell_length_c 5.539
_cell_angle_alpha 90.00
_cell_angle_beta 90.00
_cell_angle_gamma 90.00
loop_
_atom_site_label
_atom_site_type_symbol
_atom_site_fract_x
_atom_site_fract_y
_atom_site_fract_z
Li1 Li 0.000 0.000 0.000
Re1 Re 0.500 0.500 0.500
I1 I 0.000 0.500 0.500
```

Output
Energy above the most stable polymorph in this dataset (eV per atom): 0.000
DOS(E_F) (states/eV per cell): 11.3
E_form (uncorrected) (eV per atom): 0.4297
Calculated density (g/cm³): 5.6

---

The following is a DFT calculation (PBE) of a geometry-optimized RbAs structure.

The structure in CIF format:
```
data_RbAs
_chemical_formula_sum 'Rb4 As4'
_space_group_name_H-M_alt 'F m -3 m'
_space_group_IT_number 225
_space_group_name_Hall '-F 4 2 3'
_cell_length_a 7.191
_cell_length_b 7.191
_cell_length_c 7.191
_cell_angle_alpha 90.00
_cell_angle_beta 90.00
_cell_angle_gamma 90.00
loop_
_atom_site_label
_atom_site_type_symbol
_atom_site_fract_x
_atom_site_fract_y
_atom_site_fract_z
Rb1 Rb 0.000 0.000 0.000
As1 As 0.000 0.000 0.500
```

Output
Energy above the most stable polymorph in this dataset (eV per atom): 0.823
Energy relative to the elements (eV per atom): 0.391
DOS(E_F) (states/eV per cell): 3.0
Calculated density (g/cm³): 2.9

---

The following is a DFT calculation (PBE) of a geometry-optimized RbZnHg2N structure.

The structure in CIF format:
```
data_RbZnHg2N
_chemical_formula_sum 'Rb1 Zn1 Hg2 N1'
_space_group_name_H-M_alt 'P 4/m m m'
_space_group_IT_number 123
_space_group_name_Hall '-P 4 2'
_cell_length_a 7.662
_cell_length_b 7.662
_cell_length_c 5.711
_cell_angle_alpha 90.00
_cell_angle_beta 90.00
_cell_angle_gamma 90.00
loop_
_atom_site_label
_atom_site_type_symbol
_atom_site_fract_x
_atom_site_fract_y
_atom_site_fract_z
Rb1 Rb 0.000 0.000 0.000
Zn1 Zn 0.500 0.500 0.500
Hg1 Hg 0.000 0.500 0.000
N1 N 0.000 0.000 0.500
```

Output
DOS(E_F) (states/eV per cell): 1.9
E_form (uncorrected) (eV per atom): 0.9809
Calculated density (g/cm³): 2.8

---

The following is a DFT calculation (PBE) of a geometry-optimized RbBPb structure.

The structure in CIF format:
```
data_RbBPb
_chemical_formula_sum 'Rb4 B4 Pb4'
_space_group_name_H-M_alt 'C 1 2 1'
_space_group_IT_number 5
_cell_length_a 8.482
_cell_length_b 12.438
_cell_length_c 4.140
_cell_angle_alpha 90.00
_cell_angle_beta 114.36
_cell_angle_gamma 90.00
loop_
_space_group_symop_operation_xyz
'x,y,z'
'-x,y,-z'
'x+1/2,y+1/2,z'
'-x+1/2,y+1/2,-z'
loop_
_atom_site_label
_atom_site_type_symbol
_atom_site_fract_x
_atom_site_fract_y
_atom_site_fract_z
Rb1 Rb 0.000 0.000 0.000
Rb2 Rb 0.000 0.378 0.000
B1 B 0.078 0.594 0.688
Pb1 Pb 0.188 0.693 0.256
```

Output
Energy relative to the elements (eV per atom): 0.385
DOS(E_F) (states/eV per cell): 0.0
Calculated density (g/cm³): 5.1

---

The following is a DFT calculation (PBE) of a geometry-optimized Ti2HIrCl structure.

The structure in CIF format:
```
data_Ti2HIrCl
_chemical_formula_sum 'Ti2 H1 Ir1 Cl1'
_space_group_name_H-M_alt 'P 4/m m m'
_space_group_IT_number 123
_space_group_name_Hall '-P 4 2'
_cell_length_a 4.434
_cell_length_b 4.434
_cell_length_c 4.365
_cell_angle_alpha 90.00
_cell_angle_beta 90.00
_cell_angle_gamma 90.00
loop_
_atom_site_label
_atom_site_type_symbol
_atom_site_fract_x
_atom_site_fract_y
_atom_site_fract_z
Ti1 Ti 0.000 0.500 0.000
H1 H 0.000 0.000 0.500
Ir1 Ir 0.500 0.500 0.500
Cl1 Cl 0.500 0.500 0.000
```

Output
Energy (eV per atom): -4.991
DOS(E_F) (states/eV per cell): 5.7
Calculated density (g/cm³): 6.3

---

The following is a DFT calculation (PBE) of a geometry-optimized NbCr2CuOs structure.

The structure in CIF format:
```
data_NbCr2CuOs
_chemical_formula_sum 'Nb1 Cr2 Cu1 Os1'
_space_group_name_H-M_alt 'P 4/m m m'
_space_group_IT_number 123
_space_group_name_Hall '-P 4 2'
_cell_length_a 4.465
_cell_length_b 4.465
_cell_length_c 4.861
_cell_angle_alpha 90.00
_cell_angle_beta 90.00
_cell_angle_gamma 90.00
loop_
_atom_site_label
_atom_site_type_symbol
_atom_site_fract_x
_atom_site_fract_y
_atom_site_fract_z
Nb1 Nb 0.000 0.000 0.000
Cr1 Cr 0.000 0.500 0.500
Cu1 Cu 0.500 0.500 0.000
Os1 Os 0.000 0.000 0.500
```

Output
Energy relative to the elements (eV per atom): 1.518
DOS(E_F) (states/eV per cell): 7.1
Calculated density (g/cm³): 7.7

---

The following is a DFT calculation (PBE) of a geometry-optimized CdIn3Ag7 structure.

The structure in CIF format:
```
data_CdIn3Ag7
_chemical_formula_sum 'Cd2 In6 Ag14'
_space_group_name_H-M_alt 'C 1 2/m 1'
_space_group_IT_number 12
_cell_length_a 9.610
_cell_length_b 9.839
_cell_length_c 5.520
_cell_angle_alpha 90.00
_cell_angle_beta 114.61
_cell_angle_gamma 90.00
loop_
_space_group_symop_operation_xyz
'x,y,z'
'-x,-y,-z'
'-x,y,-z'
'x,-y,z'
'x+1/2,y+1/2,z'
'-x+1/2,-y+1/2,-z'
'-x+1/2,y+1/2,-z'
'x+1/2,-y+1/2,z'
loop_
_atom_site_label
_atom_site_type_symbol
_atom_site_fract_x
_atom_site_fract_y
_atom_site_fract_z
Cd1 Cd 0.000 0.000 0.000
In1 In 0.000 0.285 0.500
In2 In 0.000 0.500 0.000
Ag1 Ag 0.000 0.000 0.500
Ag2 Ag 0.177 0.257 0.179
Ag3 Ag 0.217 0.500 0.541
```

Output
Energy above the most stable polymorph in this dataset (eV per atom): 0.081
Energy relative to the elements (eV per atom): 0.093
DOS(E_F) (states/eV per cell): 6.8
Calculated density (g/cm³): 8.5

---

The following is a DFT calculation (PBE) of a geometry-optimized ReP structure.

The structure in CIF format:
```
data_ReP
_chemical_formula_sum 'Re4 P4'
_space_group_name_H-M_alt 'P 63/m m c'
_space_group_IT_number 194
_space_group_name_Hall '-P 6c 2c'
_cell_length_a 4.2615
_cell_length_b 4.2615
_cell_length_c 7.4259
_cell_angle_alpha 90.00
_cell_angle_beta 90.00
_cell_angle_gamma 120.00
loop_
_atom_site_label
_atom_site_type_symbol
_atom_site_fract_x
_atom_site_fract_y
_atom_site_fract_z
Re1 Re 0.3333 0.6667 0.0759
P1 P 0.0000 0.0000 0.2500
P2 P 0.3333 0.6667 0.7500
```

Output
Energy above the most stable polymorph in this dataset (eV per atom): 0.986
Energy relative to the elements (eV per atom): 0.698
DOS(E_F) (states/eV per cell): 8.8
Calculated density (g/cm³): 12.4

---

The following is a DFT calculation (PBE) of a geometry-optimized BaZr3Tc structure.

The structure in CIF format:
```
data_BaZr3Tc
_chemical_formula_sum 'Ba1 Zr3 Tc1'
_space_group_name_H-M_alt 'P m -3 m'
_space_group_IT_number 221
_space_group_name_Hall '-P 4 2 3'
_cell_length_a 5.168
_cell_length_b 5.168
_cell_length_c 5.168
_cell_angle_alpha 90.00
_cell_angle_beta 90.00
_cell_angle_gamma 90.00
loop_
_atom_site_label
_atom_site_type_symbol
_atom_site_fract_x
_atom_site_fract_y
_atom_site_fract_z
Ba1 Ba 0.000 0.000 0.000
Zr1 Zr 0.000 0.000 0.500
Tc1 Tc 0.500 0.500 0.500
```

Output
Energy above the most stable polymorph in this dataset (eV per atom): 1.947
Energy relative to the elements (eV per atom): 2.304
DOS(E_F) (states/eV per cell): 9.6
Calculated density (g/cm³): 6.1

---

Here are the calculated total moment numbers, same order: 0.091, 0.000, 0.048, 0.000, 1.000, 0.407, 0.000, 0.000, 0.000, 0.000, 0.000, 0.000 (μB per atom).